# Cu2ReAg | the Alexandria database | PBE-GGA | relaxed
data_Cu2ReAg
_cell_length_a 2.633
_cell_length_b 4.861
_cell_length_c 9.248
_cell_angle_alpha 90.00
_cell_angle_beta 90.00
_cell_angle_gamma 90.00
_symmetry_space_group_name_H-M 'I m m m'
_symmetry_Int_Tables_number 71
_symmetry_space_group_name_Hall '-I 2 2'
loop_
_atom_site_label
_atom_site_fract_x
_atom_site_fract_y
_atom_site_fract_z
Cu1 0.000 0.000 0.245
Re1 0.000 0.500 0.500
Ag1 0.000 0.500 0.000
# Total DFT energy (no corrections): -42.3 eV for the cell shown
# Formation energy from the elements: 56 kJ/mol of atoms